1.
VASP calculation (PBEsol) on crystalline WC3Cl at its relaxed geometry.

abc: 4.1263 4.1263 4.1263
angles: 90.00 90.00 90.00
Fractional coordinates of all 5 atoms:
1 W 0.0000 0.0000 0.0000
2 C 0.0000 0.0000 0.5000
3 C 0.0000 0.5000 0.0000
4 C 0.5000 0.0000 0.0000
5 Cl 0.5000 0.5000 0.5000

total magnetic moment	0.000	μB per atom
N(E_F)	5.47	states/eV per cell
formation energy from raw total energies	2.092	eV/atom
space-group type	Pm-3m

2.
VASP calculation (PBEsol) on crystalline Tl2InFe at its relaxed geometry.

abc: 7.1686 7.1686 7.1686
angles: 156.12 142.86 44.64
Fractional coordinates of all 4 atoms:
1 Tl 0.0000 0.0000 0.0000
2 Tl 0.6847 0.1847 0.5000
3 In 0.3620 0.3620 0.0000
4 Fe 0.1884 0.6884 0.5000

total magnetic moment	0.506	μB per atom
DFT formation energy	1.33	eV per formula unit
N(E_F)	2.86	states/eV per cell
distance to the lowest polymorph of the same formula	0.003	eV/atom
space-group type	Imm2

3.
VASP calculation (PBEsol) on crystalline HoSbIr at its relaxed geometry.

abc: 7.0433 4.4697 7.8058
angles: 90.00 90.00 90.00
Fractional coordinates of all 12 atoms:
1 Ho 0.0105 0.2500 0.1924
2 Ho 0.4895 0.7500 0.6924
3 Ho 0.5105 0.2500 0.3076
4 Ho 0.9895 0.7500 0.8076
5 Sb 0.1780 0.2500 0.5883
6 Sb 0.3220 0.7500 0.0882
7 Sb 0.6780 0.2500 0.9118
8 Sb 0.8220 0.7500 0.4118
9 Ir 0.2104 0.7500 0.4124
10 Ir 0.2896 0.2500 0.9124
11 Ir 0.7104 0.7500 0.0876
12 Ir 0.7896 0.2500 0.5876

total magnetic moment	0.000	μB per atom
N(E_F)	5.65	states/eV per cell
formation energy from raw total energies	-0.914	eV/atom
space-group type	Pnma

4.
VASP calculation (PBEsol) on crystalline SrTlMo2 at its relaxed geometry.

abc: 3.0187 5.2855 5.4369
angles: 90.00 91.98 90.00
Fractional coordinates of all 4 atoms:
1 Sr 0.0000 0.0000 0.0000
2 Tl 0.5000 0.0000 0.5000
3 Mo 0.3640 0.5000 0.7948
4 Mo 0.6360 0.5000 0.2052

total magnetic moment	0.000	μB per atom
DFT formation energy	3.68	eV per formula unit
N(E_F)	3.73	states/eV per cell
distance to the lowest polymorph of the same formula	0.000	eV/atom
space-group type	P2/m

5.
VASP calculation (PBEsol) on crystalline Zn3BiRu at its relaxed geometry.

abc: 5.1226 5.1226 5.1226
angles: 90.00 90.00 90.00
Fractional coordinates of all 5 atoms:
1 Zn 0.0000 0.0000 0.5000
2 Zn 0.0000 0.5000 0.0000
3 Zn 0.5000 0.0000 0.0000
4 Bi 0.0000 0.0000 0.0000
5 Ru 0.5000 0.5000 0.5000

total magnetic moment	0.504	μB per atom
DFT formation energy	8.57	eV per formula unit
N(E_F)	6.07	states/eV per cell
space-group type	Pm-3m

6.
VASP calculation (PBEsol) on crystalline V2O3F3 at its relaxed geometry.

abc: 5.1577 5.2073 12.8585
angles: 88.90 89.46 60.44
Fractional coordinates of all 24 atoms:
1 V 0.0000 0.0000 0.0000
2 V 0.0001 0.0487 0.4851
3 V 0.3811 0.3435 0.3274
4 V 0.4021 0.3371 0.8270
5 V 0.6596 0.6804 0.1553
6 V 0.7021 0.7156 0.6648
7 O 0.1325 0.2298 0.4173
8 O 0.3736 0.7888 0.0754
9 O 0.4710 0.5464 0.7485
10 O 0.5588 0.4612 0.2441
11 O 0.5790 0.0004 0.7461
12 O 0.6804 0.1408 0.4147
13 O 0.6941 0.2123 0.9136
14 O 0.8250 0.8871 0.0840
15 O 0.9019 0.7844 0.5806
16 F 0.0077 0.5632 0.2517
17 F 0.0164 0.4445 0.7489
18 F 0.1271 0.6583 0.9144
19 F 0.2371 0.6855 0.4137
20 F 0.2392 0.1097 0.9104
21 F 0.3546 0.8815 0.5828
22 F 0.4525 0.0086 0.2484
23 F 0.8000 0.3313 0.5865
24 F 0.9330 0.3379 0.0797

total magnetic moment	0.125	μB per atom
N(E_F)	4.83	states/eV per cell
distance to the lowest polymorph of the same formula	0.000	eV/atom
formation energy from raw total energies	-2.580	eV/atom
space-group type	P1